[1]
Here is crystalline KZr2Be at its relaxed geometry from Alexandria via LeMat-Bulk. Energies are from PBE.

Output
Raw total energy, eV per formula unit: -18.030
Calculated formation energy, eV/atom: 0.972
Space-group type: P2/m (10)

```
KZr2Be
1.0
3.078 0.000 0.000
0.000 5.409 -0.001
0.000 3.521 5.654
Zr K Be
2 1 1
Cartesian
0.000 0.000 0.000 Zr
1.539 2.704 0.000 Zr
0.000 1.760 2.827 K
1.539 4.465 2.827 Be
```

---

[2]
Here is crystalline KZr2Be at its relaxed geometry from Alexandria via LeMat-Bulk. Energies are from PBE.

Output
Raw total energy, eV per formula unit: -17.337
Calculated formation energy, eV/atom: 1.146
Space-group type: F-43m (216)

```
KZr2Be
1.0
5.125 0.000 0.000
2.562 4.438 0.000
2.562 1.479 4.184
Be Zr K
1 2 1
Cartesian
5.125 2.959 2.092 Be
0.000 0.000 0.000 Zr
2.562 1.479 1.046 Zr
7.687 4.438 3.138 K
```

---

[3]
Here is crystalline KZr2Be at its relaxed geometry from Alexandria via LeMat-Bulk. Energies are from PBE.

Output
Raw total energy, eV per formula unit: -19.318
Calculated formation energy, eV/atom: 0.651
Space-group type: Imm2 (44)

```
KZr2Be
1.0
-8.508 2.989 -1.165
-8.532 -1.993 -2.430
7.996 -0.393 4.312
Be Zr K
1 2 1
Cartesian
-8.889 0.520 -1.876 Be
-0.161 0.009 -0.034 Zr
-2.677 1.440 1.062 Zr
-5.836 -0.868 -0.234 K
```

---

[4]
Here is crystalline KZr2Be at its relaxed geometry from Alexandria via LeMat-Bulk. Energies are from PBE.

Output
Raw total energy, eV per formula unit: -20.289
Calculated formation energy, eV/atom: 0.408
Space-group type: P4mm (99)

```
KZr2Be
1.0
3.448 0.000 0.000
0.000 3.452 0.000
0.000 0.000 8.943
Zr K Be
2 1 1
Cartesian
1.724 1.726 2.678 Zr
0.000 0.000 0.816 Zr
1.724 1.726 6.255 K
0.000 0.000 3.665 Be
```

---

[5]
Here is crystalline KZr2Be at its relaxed geometry from Alexandria via LeMat-Bulk. Energies are from PBE.

Output
Raw total energy, eV per formula unit: -17.627
Calculated formation energy, eV/atom: 1.073
Space-group type: Cmmm (65)

```
KZr2Be
1.0
6.091 0.000 0.000
-2.900 5.357 0.000
0.000 0.000 2.829
Be Zr K
1 2 1
Cartesian
3.046 0.000 1.414 Be
1.596 2.678 0.000 Zr
0.000 0.000 0.000 Zr
-1.450 2.678 1.414 K
```

---

[6]
Here is crystalline K2ZrBe at its relaxed geometry from Alexandria via LeMat-Bulk. Energies are from PBE.

Output
Raw total energy, eV per formula unit: -11.451
Calculated formation energy, eV/atom: 0.755
Space-group type: Cm (8)

```
K2ZrBe
1.0
4.214 -0.027 0.012
2.958 3.001 0.012
0.723 0.300 11.138
Be Zr K
1 1 2
Cartesian
1.915 0.794 3.396 Be
4.092 1.697 4.575 Zr
5.962 2.473 7.767 K
7.047 2.923 1.030 K
```

---

[7]
Here is crystalline K4ZrBe at its relaxed geometry from Alexandria via LeMat-Bulk. Energies are from PBE.

Output
Raw total energy, eV per formula unit: -9.100
Calculated formation energy, eV/atom: 1.261
Space-group type: F-43m (216)

```
K4ZrBe
1.0
0.000 5.093 5.093
5.093 0.000 5.093
5.093 5.093 0.000
K Zr Be
4 1 1
Cartesian
3.816 6.370 6.370 K
3.816 3.816 3.816 K
6.370 6.370 3.816 K
6.370 3.816 6.370 K
7.639 7.639 7.639 Zr
0.000 0.000 0.000 Be
```

---

[8]
Here is crystalline K2ZrBe at its relaxed geometry from Alexandria via LeMat-Bulk. Energies are from PBE.

Output
Raw total energy, eV per formula unit: -9.924
Calculated formation energy, eV/atom: 1.136
Space-group type: P4/mmm (123)

```
K2ZrBe
1.0
3.152 0.000 0.000
0.000 3.152 0.000
0.000 0.000 12.124
K Be Zr
2 1 1
Cartesian
0.000 0.000 11.707 K
0.000 0.000 6.479 K
1.576 1.576 9.093 Be
1.576 1.576 3.031 Zr
```